{
  "formula": "Ba3TmSb2O8",
  "functional": "PBE",
  "state": "optimized geometry",
  "cell": [[6.128, 0.000, 0.000], [-3.064, 5.307, 0.000], [0.000, 0.000, 8.057]],
  "species": ["Ba", "Ba", "Ba", "O", "O", "O", "O", "O", "O", "O", "O", "Sb", "Sb", "Tm"],
  "frac_coords": [[0.000, 0.000, 0.000], [0.667, 0.333, 0.362], [0.333, 0.667, 0.638], [0.666, 0.833, 0.334], [0.167, 0.334, 0.334], [0.667, 0.333, 0.057], [0.833, 0.167, 0.666], [0.333, 0.667, 0.943], [0.334, 0.167, 0.666], [0.167, 0.833, 0.334], [0.833, 0.666, 0.666], [0.333, 0.667, 0.200], [0.667, 0.333, 0.800], [0.000, 0.000, 0.500]]
}

---

{
  "formula": "Ba4TmSb3O12",
  "functional": "PBE",
  "state": "optimized geometry",
  "cell": [[-4.409, -2.859, -5.182], [5.666, -4.573, 1.206], [-3.813, 0.895, 6.255]],
  "species": ["Tm", "O", "O", "O", "O", "O", "O", "O", "O", "O", "O", "O", "O", "Sb", "Sb", "Sb", "Ba", "Ba", "Ba", "Ba"],
  "frac_coords": [[0.000, 0.000, 0.000], [0.741, 0.741, 0.000], [0.741, 0.000, 0.741], [0.259, 0.259, 0.000], [0.000, 0.741, 0.741], [0.259, 0.000, 0.259], [0.750, 0.250, 0.500], [0.000, 0.259, 0.259], [0.250, 0.500, 0.750], [0.250, 0.750, 0.500], [0.750, 0.500, 0.250], [0.500, 0.750, 0.250], [0.500, 0.250, 0.750], [0.500, 0.000, 0.500], [0.000, 0.500, 0.500], [0.500, 0.500, 0.000], [0.000, 0.500, 0.000], [0.500, 0.000, 0.000], [0.500, 0.500, 0.500], [0.000, 0.000, 0.500]]
}

---

{
  "formula": "Ba3TmSb2O9",
  "functional": "PBE",
  "state": "optimized geometry",
  "cell": [[6.017, 0.000, 0.000], [-3.008, 5.211, 0.000], [0.000, 0.000, 7.356]],
  "species": ["O", "O", "O", "O", "O", "O", "O", "O", "O", "Sb", "Sb", "Ba", "Ba", "Ba", "Tm"],
  "frac_coords": [[0.654, 0.827, 0.326], [0.173, 0.346, 0.326], [0.827, 0.654, 0.674], [0.500, 0.000, 0.000], [0.173, 0.827, 0.326], [0.827, 0.173, 0.674], [0.346, 0.173, 0.674], [0.000, 0.500, 0.000], [0.500, 0.500, 0.000], [0.333, 0.667, 0.170], [0.667, 0.333, 0.830], [0.000, 0.000, 0.000], [0.667, 0.333, 0.329], [0.333, 0.667, 0.671], [0.000, 0.000, 0.500]]
}

---

The DFT total energy results, record by record, are as follows: -6.33, -6.51, -6.65 eV/atom.
The energy relative to the elements, uncorrected results, record by record, are as follows: -2.18, -2.31, -2.44 eV/atom.